Crystalline Mg9Sc11Cd4 at its relaxed geometry. Source: Alexandria via LeMat-Bulk, functional PBE-GGA.

Geometry as extended XYZ:
```
24
Lattice="3.557 0.000 0.000 0.000 11.960 -5.048 0.000 0.058 12.982" Properties=species:S:1:pos:R:3 pbc="T T T"
Cd 1.779 8.885 3.444
Mg 1.779 9.541 8.400
Sc 0.000 7.093 9.168
Mg 1.779 0.545 2.462
Mg 1.779 2.478 -0.466
Sc 0.000 3.101 2.047
Sc 0.000 4.222 6.675
Sc 0.000 11.218 2.919
Cd 1.779 6.659 6.816
Cd 1.779 5.360 1.117
Sc 0.000 2.041 9.979
Sc 0.000 0.000 0.000
Sc 0.000 8.918 5.887
Mg 1.779 11.474 5.472
Sc 0.000 0.801 5.015
Sc 0.000 9.978 -2.045
Sc 0.000 7.797 1.259
Cd 1.779 3.134 4.490
Sc 0.000 4.926 -1.234
Mg 1.779 6.009 3.967
Mg 1.779 4.510 9.246
Mg 1.779 1.744 7.420
Mg 1.779 10.275 0.514
Mg 1.779 7.508 -1.312
```

Results
total moment = 0.00 μB per formula unit
ρ = 3.49 g/cm3
space-group type = Cmmm
DFT formation energy = -102 meV/atom
DOS at the Fermi energy = 27.6 states/eV/f.u.
crystal system = orthorhombic

***

Crystalline PmScCl4 at its relaxed geometry. Source: Alexandria via LeMat-Bulk, functional PBE-GGA.

Geometry as extended XYZ:
```
12
Lattice="6.580 -0.515 0.000 -1.715 6.420 0.000 -2.432 -2.952 8.001" Properties=species:S:1:pos:R:3 pbc="T T T"
Cl -1.281 4.992 1.072
Sc -2.503 3.338 7.087
Cl -0.424 1.782 6.929
Cl 3.714 -2.039 6.929
Cl 0.301 -1.685 5.289
Cl -0.557 1.525 2.712
Sc 4.935 -0.386 0.914
Pm 0.787 3.081 0.944
Cl 2.856 1.170 1.072
Cl 2.989 1.428 5.289
Pm 1.645 -0.129 7.057
Cl 2.131 4.638 2.712
```

Results
total moment = 0.00 μB per formula unit
ρ = 3.33 g/cm3
space-group type = C2/c
DOS at the Fermi energy = 3.8 states/eV/f.u.
final energy = -59.028 eV/cell
crystal system = monoclinic

***

Crystalline CsMnCd2I8 at its relaxed geometry. Source: Alexandria via LeMat-Bulk, functional PBE-GGA.

Geometry as extended XYZ:
```
12
Lattice="8.097 0.791 0.993 0.810 7.194 -0.466 1.247 -1.099 10.695" Properties=species:S:1:pos:R:3 pbc="T T T"
I 3.266 2.189 4.444
I 6.639 6.615 1.022
I 3.515 0.270 10.200
I 2.531 5.457 1.395
Mn 0.000 0.000 0.000
I 6.888 4.696 6.778
Cs 0.624 -0.549 5.348
I 7.442 2.428 3.068
Cd 2.042 2.765 2.053
I 2.712 4.458 8.155
I 7.623 1.429 9.827
Cd 8.112 4.120 9.169
```

Results
total moment = 3.95 μB per formula unit
ρ = 3.94 g/cm3
space-group type = P-1
final energy = -31.904 eV/cell
crystal system = triclinic

***

Crystalline TbY4Te5 at its relaxed geometry. Source: Alexandria via LeMat-Bulk, functional PBE-GGA.

Geometry as extended XYZ:
```
10
Lattice="-5.381 -0.672 2.986 -5.385 -3.419 -4.057 -0.601 -6.460 3.879" Properties=species:S:1:pos:R:3 pbc="T T T"
Tb -0.001 0.000 0.001
Te -5.095 -3.748 2.824
Y -4.786 -6.818 2.689
Te -6.285 -6.805 -0.009
Te -3.890 -3.422 -1.349
Y -2.395 -3.391 1.353
Te -7.489 -7.131 4.164
Te -2.693 -0.337 1.494
Y -6.594 -3.735 0.127
Y -8.985 -7.162 1.463
```

Results
total moment = 0.00 μB per formula unit
ρ = 6.50 g/cm3
space-group type = I4
DOS at the Fermi energy = 5.7 states/eV/f.u.
final energy = -59.280 eV/cell
crystal system = tetragonal

***

Crystalline Ce3SiS6 at its relaxed geometry. Source: Alexandria via LeMat-Bulk, functional PBE-GGA.

Geometry as extended XYZ:
```
20
Lattice="6.656 0.000 0.000 0.000 8.751 0.012 0.000 -1.941 8.533" Properties=species:S:1:pos:R:3 pbc="T T T"
S 1.178 1.912 7.666
Ce 6.068 4.497 3.401
Ce 3.159 2.274 0.706
Si 0.209 0.168 6.852
S 0.950 -1.447 8.138
S 1.178 -0.237 4.970
S 4.278 8.256 0.406
Ce 3.159 6.629 6.170
S 1.298 4.724 5.468
Ce 6.487 0.181 2.374
S 4.626 4.276 5.825
S 1.374 6.490 1.813
S 4.703 0.319 6.731
Ce 2.739 2.312 5.143
S 1.298 2.534 2.719
Si 3.537 6.642 1.692
S 4.626 2.085 3.077
S 4.507 7.046 3.575
S 4.507 4.897 0.878
Ce 6.487 4.535 7.838
```

Results
total moment = 3.79 μB per formula unit
ρ = 4.28 g/cm3
space-group type = Cmc2_1
DOS at the Fermi energy = 21.4 states/eV/f.u.
final energy = -127.502 eV/cell
crystal system = orthorhombic

***

Crystalline LiCa8In2 at its relaxed geometry. Source: Alexandria via LeMat-Bulk, functional PBE-GGA.

Geometry as extended XYZ:
```
11
Lattice="-4.782 2.362 1.194 -0.754 -5.358 7.583 6.317 6.661 -0.388" Properties=species:S:1:pos:R:3 pbc="T T T"
Ca -1.480 1.269 4.074
Ca 1.025 5.395 5.941
Ca 2.577 4.642 1.138
Ca -0.191 2.250 7.293
Li -2.391 1.181 0.597
Ca 2.261 2.396 4.316
Ca -0.243 -1.730 2.449
Ca 0.973 1.415 1.096
In -0.276 4.258 2.981
In 1.057 -0.593 5.408
Ca -1.796 -0.977 7.252
```

Results
total moment = 0.00 μB per formula unit
ρ = 2.44 g/cm3
space-group type = Immm
DFT formation energy = -164 meV/atom
DOS at the Fermi energy = 8.0 states/eV/f.u.
crystal system = orthorhombic